First-principles (PBE) data for TaFeRu after structural relaxation, as listed in the Alexandria database.

Cell: 6.031 6.031 6.031 Å, 153.80 153.80 37.39°
Atoms (fractional coordinates):
Ta 0.000 0.000 0.000
Fe 0.326 0.326 0.000
Ru 0.690 0.690 0.000

Its energy above the most stable polymorph in this dataset is 0.164 eV/atom. The calculated volume comes out at 14.23 Å³ per atom. The formation energy is 0.06 eV per formula unit.

First-principles (PBE) data for RbCu2Br after structural relaxation, as listed in the Alexandria database.

Cell: 10.790 10.790 10.790 Å, 154.00 154.00 37.11°
Atoms (fractional coordinates):
Rb 0.375 0.625 0.750
Rb 0.625 0.375 0.250
Cu 0.000 0.000 0.000
Cu 0.000 0.000 0.500
Cu 0.000 0.500 0.000
Cu 0.500 0.000 0.500
Br 0.125 0.875 0.250
Br 0.875 0.125 0.750

The raw formation energy is 0.04 eV/atom. Its energy above the most stable polymorph in this dataset is 0.000 eV/atom. The calculated volume comes out at 30.14 Å³ per atom.

First-principles (PBE) data for Mn3BeOs after structural relaxation, as listed in the Alexandria database.

Cell: 3.829 3.829 3.829 Å, 90.00 90.00 90.00°
Atoms (fractional coordinates):
Mn 0.000 0.000 0.500
Mn 0.000 0.500 0.000
Mn 0.500 0.000 0.000
Be 0.000 0.000 0.000
Os 0.500 0.500 0.500

Its energy above the most stable polymorph in this dataset is 0.000 eV/atom. The calculated volume comes out at 11.23 Å³ per atom. The formation energy is 3.26 eV per formula unit.

First-principles (PBE) data for Mg2TlFeAs after structural relaxation, as listed in the Alexandria database.

Cell: 4.959 4.959 4.951 Å, 90.00 90.00 90.00°
Atoms (fractional coordinates):
Mg 0.000 0.500 0.000
Mg 0.500 0.000 0.000
Tl 0.000 0.000 0.500
Fe 0.000 0.000 0.000
As 0.500 0.500 0.500

The calculated volume comes out at 24.35 Å³ per atom. The formation energy is 2.80 eV per formula unit.

First-principles (PBE) data for LiBeZnHg after structural relaxation, as listed in the Alexandria database.

Cell: 4.312 4.312 4.312 Å, 60.00 60.00 60.00°
Atoms (fractional coordinates):
Li 0.000 0.000 0.000
Be 0.500 0.500 0.500
Zn 0.750 0.750 0.750
Hg 0.250 0.250 0.250

The calculated volume comes out at 14.17 Å³ per atom. The formation energy is 0.05 eV per formula unit.

First-principles (PBE) data for LiCeTi4O12 after structural relaxation, as listed in the Alexandria database.

Cell: 7.766 5.327 5.327 Å, 89.40 90.00 90.00°
Atoms (fractional coordinates):
Li 0.000 0.000 0.000
Ce 0.500 0.461 0.461
Ti 0.229 0.491 0.969
Ti 0.229 0.969 0.491
Ti 0.771 0.491 0.969
Ti 0.771 0.969 0.491
O 0.000 0.005 0.390
O 0.000 0.390 0.005
O 0.184 0.791 0.791
O 0.274 0.278 0.687
O 0.274 0.687 0.278
O 0.309 0.219 0.219
O 0.500 0.539 0.909
O 0.500 0.909 0.539
O 0.691 0.219 0.219
O 0.726 0.278 0.687
O 0.726 0.687 0.278
O 0.816 0.791 0.791

The raw formation energy is -2.55 eV/atom. The calculated volume comes out at 12.24 Å³ per atom.

First-principles (PBE) data for LaPrErSc after structural relaxation, as listed in the Alexandria database.

Cell: 6.780 6.780 3.845 Å, 106.44 106.44 50.25°
Atoms (fractional coordinates):
La 0.000 0.000 0.000
Pr 0.726 0.726 0.222
Er 0.264 0.264 0.761
Sc 0.490 0.490 0.488

Its energy above the most stable polymorph in this dataset is 0.004 eV/atom. The calculated volume comes out at 32.27 Å³ per atom. The formation energy is 0.35 eV per formula unit.

First-principles (PBE) data for TbCePm after structural relaxation, as listed in the Alexandria database.

Cell: 7.922 7.922 7.922 Å, 154.10 154.10 36.96°
Atoms (fractional coordinates):
Tb 0.000 0.000 0.000
Ce 0.341 0.341 0.000
Pm 0.680 0.680 0.000

Its energy above the most stable polymorph in this dataset is 0.000 eV/atom. The calculated volume comes out at 31.58 Å³ per atom. The formation energy is 0.22 eV per formula unit.

calculated volume of number 6 (LiCeTi4O12)? 12.24 Å³ per atom